# Be2TlMo meta-GGA SCAN PBEsol geometry
data_Be2TlMo
_chemical_formula_sum 'Be8 Tl4 Mo4'
_symmetry_space_group_name_H-M 'F -4 3 m'
_symmetry_Int_Tables_number 216
_symmetry_space_group_name_Hall 'F -4 2 3'
_cell_length_a 6.144
_cell_length_b 6.144
_cell_length_c 6.144
_cell_angle_alpha 90.00
_cell_angle_beta 90.00
_cell_angle_gamma 90.00
loop_
_atom_site_label
_atom_site_type_symbol
_atom_site_fract_x
_atom_site_fract_y
_atom_site_fract_z
Be1 Be 0.000 0.000 0.000
Be2 Be 0.250 0.250 0.250
Tl1 Tl 0.000 0.000 0.500
Mo1 Mo 0.250 0.250 0.750
# N(E_F): 0.810 states/eV per atom
# Spin magnetization: 0.2529 μB/atom
# Energy of formation: 0.914 eV/atom
# Distance to the lowest polymorph of the same formula: 385 meV/atom

***

# BeTl2Mo meta-GGA SCAN PBEsol geometry
data_BeTl2Mo
_chemical_formula_sum 'Be2 Tl4 Mo2'
_symmetry_space_group_name_H-M 'C m m m'
_symmetry_Int_Tables_number 65
_symmetry_space_group_name_Hall '-C 2 2'
_cell_length_a 5.818
_cell_length_b 8.146
_cell_length_c 3.027
_cell_angle_alpha 90.00
_cell_angle_beta 90.00
_cell_angle_gamma 90.00
loop_
_atom_site_label
_atom_site_type_symbol
_atom_site_fract_x
_atom_site_fract_y
_atom_site_fract_z
Be1 Be 0.000 0.000 0.000
Tl1 Tl 0.250 0.250 0.500
Mo1 Mo 0.000 0.500 0.000
# N(E_F): 0.685 states/eV per atom
# Spin magnetization: 0.0003 μB/atom
# Energy of formation: 0.874 eV/atom
# Distance to the lowest polymorph of the same formula: 0 meV/atom